[1]
Here is crystalline ScRe2Se2 at its relaxed geometry from Alexandria. Energies are from PBE.

a b c (Å): 5.9778 5.9778 5.9778
angles (deg): 137.91 137.91 61.04
Element x y z (fractional)
1 Sc 0.0000 0.0000 0.0000
2 Re 0.2500 0.7500 0.5000
3 Re 0.7500 0.2500 0.5000
4 Se 0.3646 0.3646 0.0000
5 Se 0.6354 0.6354 0.0000

Summary:
Total energy = -7.46 eV per atom
Energy relative to the elements, uncorrected = 183.1 meV per atom
Mass density = 10.065 Mg/m³
Excess energy over the best structure of this formula in the dataset = 0 meV per atom
Symmetry = No. 139


[2]
Here is crystalline ScAl3Pt at its relaxed geometry from Alexandria. Energies are from PBE.

a b c (Å): 4.7425 4.7425 4.7425
angles (deg): 90.00 90.00 90.00
Element x y z (fractional)
1 Sc 0.0000 0.0000 0.0000
2 Al 0.0000 0.5000 0.5000
3 Al 0.5000 0.0000 0.5000
4 Al 0.5000 0.5000 0.0000
5 Pt 0.5000 0.5000 0.5000

Summary:
Total energy = -4.91 eV per atom
Mass density = 4.997 Mg/m³
Excess energy over the best structure of this formula in the dataset = 553 meV per atom
Symmetry = No. 221
DFT formation energy = -186 meV per atom


[3]
Here is crystalline TlCdRh2I at its relaxed geometry from Alexandria. Energies are from PBE.

a b c (Å): 5.1550 5.1550 5.3487
angles (deg): 90.00 90.00 90.00
Element x y z (fractional)
1 Tl 0.0000 0.0000 0.0000
2 Cd 0.0000 0.0000 0.5000
3 Rh 0.0000 0.5000 0.0000
4 Rh 0.5000 0.0000 0.0000
5 I 0.5000 0.5000 0.5000

Summary:
Total energy = -2.82 eV per atom
Energy relative to the elements, uncorrected = 1085.7 meV per atom
Mass density = 7.588 Mg/m³
Symmetry = No. 123


[4]
Here is crystalline GaIrPd3 at its relaxed geometry from Alexandria. Energies are from PBE.

a b c (Å): 4.8668 4.8668 4.8668
angles (deg): 90.00 90.00 90.00
Element x y z (fractional)
1 Ga 0.0000 0.0000 0.0000
2 Ir 0.5000 0.5000 0.5000
3 Pd 0.0000 0.5000 0.5000
4 Pd 0.5000 0.0000 0.5000
5 Pd 0.5000 0.5000 0.0000

Summary:
Total energy = -4.48 eV per atom
Mass density = 8.372 Mg/m³
Excess energy over the best structure of this formula in the dataset = 173 meV per atom
Symmetry = No. 221
DFT formation energy = 1011 meV per atom


[5]
Here is crystalline CaPrAgIr at its relaxed geometry from Alexandria. Energies are from PBE.

a b c (Å): 5.0913 5.0913 5.0913
angles (deg): 60.00 60.00 60.00
Element x y z (fractional)
1 Ca 0.0000 0.0000 0.0000
2 Pr 0.5000 0.5000 0.5000
3 Ag 0.7500 0.7500 0.7500
4 Ir 0.2500 0.2500 0.2500

Summary:
Total energy = -4.99 eV per atom
Mass density = 8.560 Mg/m³
Symmetry = No. 216
DFT formation energy = -362 meV per atom


[6]
Here is crystalline HoSnRu2 at its relaxed geometry from Alexandria. Energies are from PBE.

a b c (Å): 4.5969 4.5969 3.3752
angles (deg): 90.00 90.00 90.00
Element x y z (fractional)
1 Ho 0.0000 0.0000 0.0000
2 Sn 0.5000 0.5000 0.0000
3 Ru 0.0000 0.5000 0.5000
4 Ru 0.5000 0.0000 0.5000

Summary:
Total energy = -7.17 eV per atom
Mass density = 11.310 Mg/m³
Symmetry = No. 123
DFT formation energy = -390 meV per atom


[7]
Here is crystalline Pm2CoB10 at its relaxed geometry from Alexandria. Energies are from PBE.

a b c (Å): 5.6103 11.1843 4.1810
angles (deg): 90.00 90.00 90.00
Element x y z (fractional)
1 Pm 0.1984 0.1343 0.0000
2 Pm 0.3016 0.6343 0.0000
3 Pm 0.6984 0.3657 0.0000
4 Pm 0.8016 0.8657 0.0000
5 Co 0.0000 0.5000 0.5000
6 Co 0.5000 0.0000 0.5000
7 B 0.0325 0.3135 0.5000
8 B 0.1279 0.9596 0.5000
9 B 0.1572 0.8025 0.5000
10 B 0.2005 0.3870 0.2008
11 B 0.2005 0.3870 0.7992
12 B 0.2995 0.8870 0.2008
13 B 0.2995 0.8870 0.7992
14 B 0.3428 0.3025 0.5000
15 B 0.3721 0.4596 0.5000
16 B 0.4675 0.8135 0.5000
17 B 0.5325 0.1865 0.5000
18 B 0.6279 0.5404 0.5000
19 B 0.6572 0.6975 0.5000
20 B 0.7005 0.1130 0.2008
21 B 0.7005 0.1130 0.7992
22 B 0.7995 0.6130 0.2008
23 B 0.7995 0.6130 0.7992
24 B 0.8428 0.1975 0.5000
25 B 0.8721 0.0404 0.5000
26 B 0.9675 0.6865 0.5000

Summary:
Total energy = -6.96 eV per atom
Mass density = 5.786 Mg/m³
Symmetry = No. 55
DFT formation energy = -543 meV per atom


[8]
Here is crystalline K2RbSb at its relaxed geometry from Alexandria. Energies are from PBE.

a b c (Å): 6.1596 6.1596 6.1596
angles (deg): 60.00 60.00 60.00
Element x y z (fractional)
1 K 0.0000 0.0000 0.0000
2 K 0.2500 0.2500 0.2500
3 Rb 0.7500 0.7500 0.7500
4 Sb 0.5000 0.5000 0.5000

Summary:
Total energy = -2.17 eV per atom
Energy relative to the elements, uncorrected = -347.9 meV per atom
Mass density = 2.868 Mg/m³
Symmetry = No. 216


[9]
Here is crystalline CsCeNbN3 at its relaxed geometry from Alexandria. Energies are from PBE.

a b c (Å): 7.2574 7.2574 8.7280
angles (deg): 104.11 104.11 31.97
Element x y z (fractional)
1 Cs 0.1487 0.1487 0.0711
2 Cs 0.8513 0.8513 0.9289
3 Ce 0.1603 0.1603 0.5706
4 Ce 0.8397 0.8397 0.4294
5 Nb 0.4953 0.4953 0.6797
6 Nb 0.5047 0.5047 0.3203
7 N 0.0156 0.0156 0.3521
8 N 0.3309 0.3309 0.5930
9 N 0.3601 0.3601 0.2619
10 N 0.6399 0.6399 0.7381
11 N 0.6691 0.6691 0.4070
12 N 0.9844 0.9844 0.6479

Summary:
Total energy = -7.70 eV per atom
Energy relative to the elements, uncorrected = -725.4 meV per atom
Mass density = 5.755 Mg/m³
Symmetry = No. 12


[10]
Here is crystalline Tm5Nb3H12 at its relaxed geometry from Alexandria. Energies are from PBE.

a b c (Å): 10.4991 10.4991 10.4991
angles (deg): 109.47 109.47 109.47
Element x y z (fractional)
1 Tm 0.0000 0.0000 0.0000
2 Tm 0.0000 0.0000 0.5000
3 Tm 0.0000 0.5000 0.0000
4 Tm 0.0000 0.5000 0.5000
5 Tm 0.1250 0.7500 0.8750
6 Tm 0.1250 0.8750 0.2500
7 Tm 0.2500 0.1250 0.8750
8 Tm 0.2500 0.6250 0.3750
9 Tm 0.3750 0.2500 0.6250
10 Tm 0.3750 0.6250 0.7500
11 Tm 0.5000 0.0000 0.0000
12 Tm 0.5000 0.0000 0.5000
13 Tm 0.5000 0.5000 0.0000
14 Tm 0.5000 0.5000 0.5000
15 Tm 0.6250 0.3750 0.2500
16 Tm 0.6250 0.7500 0.3750
17 Tm 0.7500 0.3750 0.6250
18 Tm 0.7500 0.8750 0.1250
19 Tm 0.8750 0.1250 0.7500
20 Tm 0.8750 0.2500 0.1250
21 Nb 0.1250 0.2500 0.3750
22 Nb 0.1250 0.3750 0.7500
23 Nb 0.2500 0.3750 0.1250
24 Nb 0.2500 0.8750 0.6250
25 Nb 0.3750 0.1250 0.2500
26 Nb 0.3750 0.7500 0.1250
27 Nb 0.6250 0.2500 0.8750
28 Nb 0.6250 0.8750 0.7500
29 Nb 0.7500 0.1250 0.3750
30 Nb 0.7500 0.6250 0.8750
31 Nb 0.8750 0.6250 0.2500
32 Nb 0.8750 0.7500 0.6250
33 H 0.0681 0.7334 0.6528
34 H 0.0681 0.8347 0.4153
35 H 0.0807 0.2334 0.1653
36 H 0.0807 0.3472 0.9153
37 H 0.0847 0.6653 0.4319
38 H 0.0847 0.9193 0.6528
39 H 0.1528 0.2334 0.5681
40 H 0.1528 0.4193 0.5847
41 H 0.1653 0.0807 0.2334
42 H 0.1653 0.5847 0.9319
43 H 0.2334 0.1653 0.0807
44 H 0.2334 0.5681 0.1528
45 H 0.2666 0.3472 0.9319
46 H 0.2666 0.4193 0.3347
47 H 0.3347 0.2666 0.4193
48 H 0.3347 0.5681 0.9153
49 H 0.3472 0.9153 0.0807
50 H 0.3472 0.9319 0.2666
51 H 0.4153 0.0681 0.8347
52 H 0.4153 0.8472 0.5807
53 H 0.4193 0.3347 0.2666
54 H 0.4193 0.5847 0.1528
55 H 0.4319 0.0847 0.6653
56 H 0.4319 0.8472 0.7666
57 H 0.5681 0.1528 0.2334
58 H 0.5681 0.9153 0.3347
59 H 0.5807 0.4153 0.8472
60 H 0.5807 0.6653 0.7334
61 H 0.5847 0.1528 0.4193
62 H 0.5847 0.9319 0.1653
63 H 0.6528 0.0681 0.7334
64 H 0.6528 0.0847 0.9193
65 H 0.6653 0.4319 0.0847
66 H 0.6653 0.7334 0.5807
67 H 0.7334 0.5807 0.6653
68 H 0.7334 0.6528 0.0681
69 H 0.7666 0.4319 0.8472
70 H 0.7666 0.8347 0.9193
71 H 0.8347 0.4153 0.0681
72 H 0.8347 0.9193 0.7666
73 H 0.8472 0.5807 0.4153
74 H 0.8472 0.7666 0.4319
75 H 0.9153 0.0807 0.3472
76 H 0.9153 0.3347 0.5681
77 H 0.9193 0.6528 0.0847
78 H 0.9193 0.7666 0.8347
79 H 0.9319 0.1653 0.5847
80 H 0.9319 0.2666 0.3472

Summary:
Total energy = -4.93 eV per atom
Mass density = 8.466 Mg/m³
Symmetry = No. 230


[11]
Here is crystalline Na2Co4Rh at its relaxed geometry from Alexandria. Energies are from PBE.

a b c (Å): 7.8730 7.8730 7.8730
angles (deg): 145.94 145.94 48.94
Element x y z (fractional)
1 Na 0.1342 0.1342 0.0000
2 Na 0.8658 0.8658 0.0000
3 Co 0.0000 0.5000 0.5000
4 Co 0.3388 0.3388 0.0000
5 Co 0.5000 0.0000 0.5000
6 Co 0.6612 0.6612 0.0000
7 Rh 0.5000 0.5000 0.0000

Summary:
Total energy = -4.28 eV per atom
Mass density = 4.191 Mg/m³
Symmetry = No. 139
DFT formation energy = 1204 meV per atom


[12]
Here is crystalline TlCd2BiIr at its relaxed geometry from Alexandria. Energies are from PBE.

a b c (Å): 5.2206 5.2206 5.9141
angles (deg): 90.00 90.00 90.00
Element x y z (fractional)
1 Tl 0.0000 0.0000 0.0000
2 Cd 0.0000 0.5000 0.0000
3 Cd 0.5000 0.0000 0.0000
4 Bi 0.0000 0.0000 0.5000
5 Ir 0.5000 0.5000 0.5000

Summary:
Total energy = -1.97 eV per atom
Mass density = 8.555 Mg/m³
Excess energy over the best structure of this formula in the dataset = 1248 meV per atom
Symmetry = No. 123
DFT formation energy = 1414 meV per atom


[13]
Here is crystalline MnHg2C at its relaxed geometry from Alexandria. Energies are from PBE.

a b c (Å): 6.6633 6.6633 6.6633
angles (deg): 94.77 94.77 146.47
Element x y z (fractional)
1 Mn 0.0000 0.0000 0.0000
2 Mn 0.7500 0.2500 0.5000
3 Hg 0.2561 0.1250 0.6311
4 Hg 0.3750 0.7439 0.8689
5 Hg 0.4939 0.6250 0.3689
6 Hg 0.8750 0.5061 0.1311
7 C 0.2500 0.7500 0.5000
8 C 0.5000 0.5000 0.0000

Summary:
Total energy = -3.88 eV per atom
Mass density = 9.936 Mg/m³
Symmetry = No. 122
DFT formation energy = 873 meV per atom


[14]
Here is crystalline Ba3Cd2Ag3 at its relaxed geometry from Alexandria. Energies are from PBE.

a b c (Å): 6.6921 6.6921 16.7753
angles (deg): 90.00 90.00 136.00
Element x y z (fractional)
1 Ba 0.0917 0.9083 0.6047
2 Ba 0.0917 0.9083 0.8953
3 Ba 0.3762 0.6238 0.7500
4 Ba 0.6238 0.3762 0.2500
5 Ba 0.9083 0.0917 0.1047
6 Ba 0.9083 0.0917 0.3953
7 Cd 0.2041 0.7959 0.0945
8 Cd 0.2041 0.7959 0.4055
9 Cd 0.7959 0.2041 0.5945
10 Cd 0.7959 0.2041 0.9055
11 Ag 0.3229 0.6771 0.2500
12 Ag 0.3912 0.6088 0.5378
13 Ag 0.3912 0.6088 0.9622
14 Ag 0.6088 0.3912 0.0378
15 Ag 0.6088 0.3912 0.4622
16 Ag 0.6771 0.3229 0.7500

Summary:
Total energy = -2.31 eV per atom
Mass density = 6.112 Mg/m³
Symmetry = No. 63
DFT formation energy = -291 meV per atom


[15]
Here is crystalline LiNbCdCl2 at its relaxed geometry from Alexandria. Energies are from PBE.

a b c (Å): 4.5441 4.5441 5.4545
angles (deg): 90.00 90.00 90.00
Element x y z (fractional)
1 Li 0.0000 0.0000 0.0000
2 Nb 0.5000 0.5000 0.5000
3 Cd 0.0000 0.0000 0.5000
4 Cl 0.0000 0.5000 0.0000
5 Cl 0.5000 0.0000 0.0000

Summary:
Total energy = -3.25 eV per atom
Energy relative to the elements, uncorrected = 64.7 meV per atom
Mass density = 4.175 Mg/m³
Excess energy over the best structure of this formula in the dataset = 0 meV per atom
Symmetry = No. 123


[16]
Here is crystalline ScGaSbTe2 at its relaxed geometry from Alexandria. Energies are from PBE.

a b c (Å): 5.5859 5.5859 5.5085
angles (deg): 90.00 90.00 90.00
Element x y z (fractional)
1 Sc 0.0000 0.0000 0.0000
2 Ga 0.5000 0.5000 0.5000
3 Sb 0.0000 0.0000 0.5000
4 Te 0.0000 0.5000 0.0000
5 Te 0.5000 0.0000 0.0000

Summary:
Total energy = -4.05 eV per atom
Energy relative to the elements, uncorrected = -98.5 meV per atom
Mass density = 4.750 Mg/m³
Excess energy over the best structure of this formula in the dataset = 0 meV per atom
Symmetry = No. 123


[17]
Here is crystalline HfTl2Cd at its relaxed geometry from Alexandria. Energies are from PBE.

a b c (Å): 4.6017 4.6017 4.3952
angles (deg): 90.00 90.00 90.00
Element x y z (fractional)
1 Hf 0.0000 0.0000 0.0000
2 Tl 0.0000 0.5000 0.5000
3 Tl 0.5000 0.0000 0.5000
4 Cd 0.5000 0.5000 0.0000

Summary:
Total energy = -3.75 eV per atom
Mass density = 12.483 Mg/m³
Excess energy over the best structure of this formula in the dataset = 0 meV per atom
Symmetry = No. 123
DFT formation energy = 147 meV per atom


[18]
Here is crystalline LaCuTe2Se at its relaxed geometry from Alexandria. Energies are from PBE.

a b c (Å): 6.1789 6.1789 5.6735
angles (deg): 90.00 90.00 90.00
Element x y z (fractional)
1 La 0.0000 0.0000 0.0000
2 Cu 0.5000 0.5000 0.5000
3 Te 0.0000 0.5000 0.0000
4 Te 0.5000 0.0000 0.0000
5 Se 0.0000 0.0000 0.5000

Summary:
Total energy = -3.55 eV per atom
Energy relative to the elements, uncorrected = 204.8 meV per atom
Mass density = 4.114 Mg/m³
Symmetry = No. 123


[19]
Here is crystalline DyHoTm4 at its relaxed geometry from Alexandria. Energies are from PBE.

a b c (Å): 3.4455 9.5574 5.5201
angles (deg): 90.00 90.07 90.00
Element x y z (fractional)
1 Dy 0.0000 0.0000 0.0000
2 Ho 0.0000 0.5000 0.5000
3 Tm 0.5000 0.1669 0.5000
4 Tm 0.5000 0.3339 0.0000
5 Tm 0.5000 0.6661 0.0000
6 Tm 0.5000 0.8331 0.5000

Summary:
Total energy = -4.43 eV per atom
Mass density = 9.164 Mg/m³
Excess energy over the best structure of this formula in the dataset = 0 meV per atom
Symmetry = No. 10
DFT formation energy = 81 meV per atom


[20]
Here is crystalline BeSbPtI2 at its relaxed geometry from Alexandria. Energies are from PBE.

a b c (Å): 5.6614 5.6614 5.1133
angles (deg): 90.00 90.00 90.00
Element x y z (fractional)
1 Be 0.0000 0.0000 0.0000
2 Sb 0.5000 0.5000 0.0000
3 Pt 0.5000 0.5000 0.5000
4 I 0.0000 0.5000 0.5000
5 I 0.5000 0.0000 0.5000

Summary:
Total energy = -2.63 eV per atom
Energy relative to the elements, uncorrected = 763.1 meV per atom
Mass density = 5.873 Mg/m³
Excess energy over the best structure of this formula in the dataset = 0 meV per atom
Symmetry = No. 123


[21]
Here is crystalline Hf2HPb at its relaxed geometry from Alexandria. Energies are from PBE.

a b c (Å): 4.7794 4.7794 4.7794
angles (deg): 60.00 60.00 60.00
Element x y z (fractional)
1 Hf 0.2500 0.2500 0.2500
2 Hf 0.7500 0.7500 0.7500
3 H 0.0000 0.0000 0.0000
4 Pb 0.5000 0.5000 0.5000

Summary:
Total energy = -6.26 eV per atom
Mass density = 12.158 Mg/m³
Excess energy over the best structure of this formula in the dataset = 651 meV per atom
Symmetry = No. 225


[22]
Here is crystalline RbBe3Os at its relaxed geometry from Alexandria. Energies are from PBE.

a b c (Å): 4.5134 4.5134 4.5134
angles (deg): 90.00 90.00 90.00
Element x y z (fractional)
1 Rb 0.0000 0.0000 0.0000
2 Be 0.0000 0.5000 0.5000
3 Be 0.5000 0.0000 0.5000
4 Be 0.5000 0.5000 0.0000
5 Os 0.5000 0.5000 0.5000

Summary:
Total energy = -3.99 eV per atom
Mass density = 5.468 Mg/m³
Excess energy over the best structure of this formula in the dataset = 0 meV per atom
Symmetry = No. 221
DFT formation energy = 684 meV per atom